AcAgNO | PBE | relaxed

Computed properties:
Symmetry = P4/nmm, No. 129
Excess energy over the best structure of this formula in the dataset = 13.5 kJ/mol of atoms
Volume = 135 Å³ per cell
Crystal system = tetragonal
Size of the total moment = 0.00 μB/f.u.

Unit cell a=5.3004 b=5.3004 c=4.7874 alpha=90.00 beta=90.00 gamma=90.00
Element x y z (fractional)
Ac 0.7500 0.2500 0.5000
Ac 0.2500 0.7500 0.5000
Ag 0.7500 0.7500 0.0011
Ag 0.2500 0.2500 0.9989
N 0.2500 0.2500 0.4981
N 0.7500 0.7500 0.5019
O 0.7500 0.2500 0.0000
O 0.2500 0.7500 0.0000


NaAcAg | PBE | relaxed

Computed properties:
Symmetry = F-43m, No. 216
Total energy = -0.200 Ry/atom
Volume = 103 Å³ per cell
Crystal system = cubic
Size of the total moment = 0.00 μB/f.u.

Unit cell a=5.2673 b=5.2673 c=5.2673 alpha=60.00 beta=60.00 gamma=60.00
Element x y z (fractional)
Ac 0.5000 0.5000 0.5000
Ag 0.2500 0.2500 0.2500
Na 0.0000 0.0000 0.0000